1) Crystalline CdIn2H at its relaxed geometry, computed with GGA-PBE.

Calculated values
M_tot in μB/f.u.: 0.0
DOS(E_F) in states/eV per atom: 0.545

Cell: 4.9306 4.9306 4.9306 Å, 60.00 60.00 60.00°
Sites, in units of the cell vectors:
In 0.2500 0.2500 0.2500
In 0.7500 0.7500 0.7500
Cd 0.5000 0.5000 0.5000
H 0.0000 0.0000 0.0000



2) Crystalline CdIn2H at its relaxed geometry, computed with GGA-PBE.

Calculated values
M_tot in μB/f.u.: 0.0
DOS(E_F) in states/eV per atom: 0.270

Cell: 3.1437 8.8560 9.5166 Å, 45.32 81.17 101.77°
Sites, in units of the cell vectors:
In 0.9916 0.7635 0.2364
In 0.0084 0.2365 0.7636
In 0.3100 0.7436 0.5780
In 0.6900 0.2564 0.4220
H 0.9338 0.3042 0.9455
H 0.0662 0.6958 0.0545
Cd 0.3072 0.2385 0.1331
Cd 0.6928 0.7615 0.8669



Which of them is most stable, and which least? Most stable: 2); least stable: 1).



1) Crystalline LaCdIn2H at its relaxed geometry, computed with GGA-PBE.

Calculated values
M_tot in μB/f.u.: 0.0
DOS(E_F) in states/eV per atom: 0.823

Cell: 5.8740 3.6881 5.8740 Å, 90.00 90.00 90.00°
Sites, in units of the cell vectors:
H 0.0000 0.5000 0.0000
Cd 0.0000 0.0000 0.0000
La 0.5000 0.5000 0.5000
In 0.0000 0.0000 0.5000
In 0.5000 0.0000 0.0000



2) Crystalline LaCdIn2H at its relaxed geometry, computed with GGA-PBE.

Calculated values
M_tot in μB/f.u.: 0.0
DOS(E_F) in states/eV per atom: 0.430

Cell: 4.8644 4.8644 4.6809 Å, 90.00 90.00 90.00°
Sites, in units of the cell vectors:
In 0.5000 0.0000 0.0000
In 0.0000 0.5000 0.0000
La 0.0000 0.0000 0.5000
H 0.0000 0.0000 0.0000
Cd 0.5000 0.5000 0.5000



Which of them is most stable, and which least? Most stable: 2); least stable: 1).



1) Crystalline RbCdInH2 at its relaxed geometry, computed with GGA-PBE.

Calculated values
M_tot in μB/f.u.: 0.0
DOS(E_F) in states/eV per atom: 0.189

Cell: 5.3912 5.2373 8.6783 Å, 90.00 90.00 90.00°
Sites, in units of the cell vectors:
Rb 0.5000 0.0000 0.3831
Rb 0.5000 0.5000 0.8831
Cd 0.0000 0.0000 0.6996
Cd 0.0000 0.5000 0.1996
H 0.2343 0.0000 0.8924
H 0.2343 0.5000 0.3924
H 0.7657 0.5000 0.3924
H 0.7657 0.0000 0.8924
In 0.0000 0.0000 0.0636
In 0.0000 0.5000 0.5636



2) Crystalline RbCdInH2 at its relaxed geometry, computed with GGA-PBE.

Calculated values
M_tot in μB/f.u.: 0.0
DOS(E_F) in states/eV per atom: 0.197

Cell: 3.8959 3.7611 15.2712 Å, 90.00 104.81 90.00°
Sites, in units of the cell vectors:
In 0.3913 0.5000 0.9883
In 0.3913 0.0000 0.4883
H 0.3984 0.0000 0.3592
H 0.6823 0.0000 0.7468
H 0.6823 0.5000 0.2468
H 0.3984 0.5000 0.8592
Rb 0.0983 0.5000 0.6738
Rb 0.0983 0.0000 0.1738
Cd 0.7641 0.0000 0.8734
Cd 0.7641 0.5000 0.3734



3) Crystalline RbCdInH2 at its relaxed geometry, computed with GGA-PBE.

Calculated values
M_tot in μB/f.u.: 0.0
DOS(E_F) in states/eV per atom: 0.070

Cell: 4.3012 4.6832 6.9116 Å, 72.12 74.89 85.60°
Sites, in units of the cell vectors:
H 0.8790 0.3713 0.2954
H 0.4583 0.4938 0.0360
In 0.2043 0.6756 0.2544
Cd 0.8082 0.1846 0.0733
Rb 0.5359 0.9519 0.6568



4) Crystalline RbCdInH2 at its relaxed geometry, computed with GGA-PBE.

Calculated values
M_tot in μB/f.u.: 0.0
DOS(E_F) in states/eV per atom: 0.090

Cell: 5.3278 6.1015 7.7624 Å, 90.00 90.00 90.00°
Sites, in units of the cell vectors:
Cd 0.0000 0.5000 0.2518
Cd 0.5000 0.0000 0.7518
H 0.0000 0.2415 0.4305
H 0.0000 0.7585 0.4305
H 0.5000 0.2585 0.9305
H 0.5000 0.7415 0.9305
In 0.0000 0.0000 0.6005
In 0.5000 0.5000 0.1005
Rb 0.5000 0.5000 0.5730
Rb 0.0000 0.0000 0.0730



Which of them is most stable, and which least? Most stable: 1); least stable: 3).



1) Crystalline RbCdInH2 at its relaxed geometry, computed with GGA-PBE.

Calculated values
M_tot in μB/f.u.: 0.0
DOS(E_F) in states/eV per atom: 0.099

Cell: 5.9209 3.3058 6.4382 Å, 90.00 112.95 90.00°
Sites, in units of the cell vectors:
H 0.4555 0.0000 0.9486
H 0.0888 0.0000 0.5864
Cd 0.4667 0.0000 0.6239
In 0.1016 0.0000 0.8933
Rb 0.7865 0.5000 0.2573



2) Crystalline RbCdInH2 at its relaxed geometry, computed with GGA-PBE.

Calculated values
M_tot in μB/f.u.: 0.0
DOS(E_F) in states/eV per atom: 0.039

Cell: 4.0296 7.7933 5.5215 Å, 110.74 42.56 105.12°
Sites, in units of the cell vectors:
Cd 0.3152 0.9572 0.3532
Rb 0.3153 0.3706 0.0600
In 0.3152 0.8016 0.7755
H 0.3154 0.5484 0.6489
H 0.3152 0.2078 0.4785



3) Crystalline RbCdInH2 at its relaxed geometry, computed with GGA-PBE.

Calculated values
M_tot in μB/f.u.: 0.0
DOS(E_F) in states/eV per atom: 0.067

Cell: 3.3666 4.9697 13.2192 Å, 90.00 90.10 90.00°
Sites, in units of the cell vectors:
H 0.9958 0.5000 0.3372
H 0.4971 0.0000 0.0116
H 0.4971 0.5000 0.5116
H 0.9958 0.0000 0.8372
In 0.4990 0.0000 0.1515
In 0.4990 0.5000 0.6515
Rb 0.9964 0.0000 0.4545
Rb 0.9964 0.5000 0.9545
Cd 0.4937 0.5000 0.2531
Cd 0.4937 0.0000 0.7531



4) Crystalline RbCdInH2 at its relaxed geometry, computed with GGA-PBE.

Calculated values
M_tot in μB/f.u.: 0.0
DOS(E_F) in states/eV per atom: 0.330

Cell: 3.8297 4.4854 13.6313 Å, 90.00 90.22 90.00°
Sites, in units of the cell vectors:
H 0.2854 0.0000 0.3493
H 0.2854 0.5000 0.8493
H 0.2804 0.5000 0.9076
H 0.2804 0.0000 0.4076
Rb 0.7843 0.5000 0.3612
Rb 0.7843 0.0000 0.8612
In 0.3153 0.5000 0.6401
In 0.3153 0.0000 0.1401
Cd 0.8167 0.5000 0.0871
Cd 0.8167 0.0000 0.5871



Which of them is most stable, and which least? Most stable: 2); least stable: 1).



1) Crystalline CdInHRh2 at its relaxed geometry, computed with GGA-PBE.

Calculated values
M_tot in μB/f.u.: 0.0
DOS(E_F) in states/eV per atom: 0.313

Cell: 4.2011 4.2011 3.9719 Å, 90.00 90.00 90.00°
Sites, in units of the cell vectors:
Cd 0.0000 0.0000 0.5000
In 0.5000 0.5000 0.5000
Rh 0.0000 0.5000 0.0000
Rh 0.5000 0.0000 0.0000
H 0.0000 0.0000 0.0000



2) Crystalline CdInHRh2 at its relaxed geometry, computed with GGA-PBE.

Calculated values
M_tot in μB/f.u.: 1.0
DOS(E_F) in states/eV per atom: 1.413

Cell: 4.9765 4.9765 5.3492 Å, 90.00 90.00 90.00°
Last column: magnetic moment on the atom in μB.
Sites, in units of the cell vectors:
Cd 0.0000 0.0000 0.5000  0.01
In 0.0000 0.0000 0.0000  -0.03
Rh 0.5000 0.0000 0.0000  0.37
Rh 0.0000 0.5000 0.0000  0.37
H 0.5000 0.5000 0.5000  0.17



3) Crystalline CdInHRh2 at its relaxed geometry, computed with GGA-PBE.

Calculated values
M_tot in μB/f.u.: 0.0
DOS(E_F) in states/eV per atom: 0.480

Cell: 4.1698 4.1698 4.0512 Å, 90.00 90.00 90.00°
Sites, in units of the cell vectors:
H 0.0000 0.0000 0.0000
Rh 0.0000 0.5000 0.0000
Rh 0.5000 0.0000 0.0000
In 0.0000 0.0000 0.5000
Cd 0.5000 0.5000 0.5000



Which of them is most stable, and which least? Most stable: 1); least stable: 2).



1) Crystalline CdIn2SnH at its relaxed geometry, computed with GGA-PBE.

Calculated values
M_tot in μB/f.u.: 0.0
DOS(E_F) in states/eV per atom: 0.435

Cell: 4.8228 4.8228 4.6943 Å, 90.00 90.00 90.00°
Sites, in units of the cell vectors:
In 0.0000 0.5000 0.0000
In 0.5000 0.0000 0.0000
Sn 0.0000 0.0000 0.5000
H 0.0000 0.0000 0.0000
Cd 0.5000 0.5000 0.5000



2) Crystalline CdIn2SnH at its relaxed geometry, computed with GGA-PBE.

Calculated values
M_tot in μB/f.u.: 0.0
DOS(E_F) in states/eV per atom: 0.427

Cell: 4.7515 4.7515 4.8648 Å, 90.00 90.00 90.00°
Sites, in units of the cell vectors:
In 0.0000 0.5000 0.0000
In 0.5000 0.0000 0.0000
Sn 0.5000 0.5000 0.5000
Cd 0.0000 0.0000 0.5000
H 0.0000 0.0000 0.0000



Which of them is most stable, and which least? Most stable: 2); least stable: 1).



1) Crystalline TaCdInH at its relaxed geometry, computed with GGA-PBE.

Calculated values
M_tot in μB/f.u.: 0.0
DOS(E_F) in states/eV per atom: 0.518

Cell: 3.1426 4.2192 10.4159 Å, 90.00 107.49 90.00°
Sites, in units of the cell vectors:
In 0.0581 0.0000 0.9575
In 0.0581 0.5000 0.4575
Ta 0.4143 0.0000 0.3128
Ta 0.4143 0.5000 0.8128
Cd 0.7339 0.5000 0.1324
Cd 0.7339 0.0000 0.6324
H 0.8125 0.5000 0.7106
H 0.8125 0.0000 0.2106



2) Crystalline TaCdInH at its relaxed geometry, computed with GGA-PBE.

Calculated values
M_tot in μB/f.u.: 0.0
DOS(E_F) in states/eV per atom: 0.298

Cell: 5.1074 2.8756 5.2210 Å, 90.00 103.23 90.00°
Sites, in units of the cell vectors:
Ta 0.0718 0.5000 0.8767
In 0.5849 0.0000 0.9669
Cd 0.1821 0.0000 0.3904
H 0.8731 0.0000 0.6553



3) Crystalline TaCdInH at its relaxed geometry, computed with GGA-PBE.

Calculated values
M_tot in μB/f.u.: 0.0
DOS(E_F) in states/eV per atom: 0.570

Cell: 3.0986 3.0986 25.7881 Å, 90.00 90.00 120.00°
Sites, in units of the cell vectors:
In 0.0000 0.0000 0.8479
In 0.6667 0.3333 0.1812
In 0.3333 0.6667 0.5146
Ta 0.6667 0.3333 0.6071
Ta 0.0000 0.0000 0.2738
Ta 0.3333 0.6667 0.9405
Cd 0.3333 0.6667 0.3671
Cd 0.6667 0.3333 0.0337
Cd 0.0000 0.0000 0.7004
H 0.0000 0.0000 0.7750
H 0.6667 0.3333 0.1083
H 0.3333 0.6667 0.4417



4) Crystalline TaCdInH at its relaxed geometry, computed with GGA-PBE.

Calculated values
M_tot in μB/f.u.: 0.0
DOS(E_F) in states/eV per atom: 0.286

Cell: 7.7106 3.2389 5.4912 Å, 90.00 89.99 90.00°
Sites, in units of the cell vectors:
H 0.3022 0.0000 0.5206
H 0.3022 0.5000 0.0206
In 0.9534 0.5000 0.6910
In 0.9534 0.0000 0.1910
Cd 0.5875 0.5000 0.6914
Cd 0.5875 0.0000 0.1914
Ta 0.2676 0.0000 0.8569
Ta 0.2676 0.5000 0.3569



Which of them is most stable, and which least? Most stable: 4); least stable: 3).



1) Crystalline TaCdInH at its relaxed geometry, computed with GGA-PBE.

Calculated values
M_tot in μB/f.u.: 0.0
DOS(E_F) in states/eV per atom: 0.804

Cell: 3.0778 3.0778 7.2234 Å, 90.00 90.00 90.00°
Sites, in units of the cell vectors:
Cd 0.5000 0.5000 0.5215
H 0.0000 0.0000 0.4657
In 0.5000 0.5000 0.9106
Ta 0.0000 0.0000 0.2130



2) Crystalline TaCdInH at its relaxed geometry, computed with GGA-PBE.

Calculated values
M_tot in μB/f.u.: 0.0
DOS(E_F) in states/eV per atom: 0.246

Cell: 4.3692 3.0809 5.4231 Å, 90.00 113.75 90.00°
Sites, in units of the cell vectors:
In 0.4761 0.0000 0.0855
Cd 0.1760 0.0000 0.4856
H 0.6733 0.5000 0.4810
Ta 0.8519 0.5000 0.8372



Which of them is most stable, and which least? Most stable: 1); least stable: 2).



1) Crystalline TaCdInH at its relaxed geometry, computed with GGA-PBE.

Calculated values
M_tot in μB/f.u.: 0.0
DOS(E_F) in states/eV per atom: 0.330

Cell: 3.0543 3.2948 7.6257 Å, 84.80 78.53 61.93°
Sites, in units of the cell vectors:
H 0.2662 0.4423 0.6877
In 0.4428 0.7290 0.0562
Cd 0.7493 0.7649 0.4058
Ta 0.9219 0.0826 0.7395



2) Crystalline TaCdInH at its relaxed geometry, computed with GGA-PBE.

Calculated values
M_tot in μB/f.u.: 0.0
DOS(E_F) in states/eV per atom: 0.256

Cell: 7.6675 3.3268 5.2365 Å, 90.00 94.52 90.00°
Sites, in units of the cell vectors:
Ta 0.7437 0.5000 0.9775
Ta 0.7437 0.0000 0.4775
H 0.6733 0.5000 0.3165
H 0.6733 0.0000 0.8165
Cd 0.4107 0.5000 0.6195
Cd 0.4107 0.0000 0.1195
In 0.0616 0.5000 0.3576
In 0.0616 0.0000 0.8576



Which of them is most stable, and which least? Most stable: 1); least stable: 2).